ZnNi2PtO6 (PBE+U, relaxed); magnetic moment = 5.144 μB per formula unit; VASP energy = -4.562 eV per atom; calculated volume = 13.0 Å³/atom
1.0
5.804 0.000 0.000
0.000 5.804 0.000
0.000 0.000 3.858
Zn Ni Pt O
1 2 1 6
direct
0.000 0.000 0.000
0.000 0.500 0.171
0.500 0.000 0.171
0.500 0.500 0.073
0.000 0.000 0.513
0.255 0.255 0.101
0.255 0.745 0.101
0.500 0.500 0.579
0.745 0.255 0.101
0.745 0.745 0.101